SiIrSe3 | PBE | relaxed

## Properties
- uncorrected formation energy (eV/atom) = 0.743
- total energy (eV per atom) = -4.2042
- E above lowest polymorph (meV per atom) = 0
- total moment (μB/cell) = 0.00

abc: 4.902 4.902 4.902
angles: 90.00 90.00 90.00
Positions (direct):
1 Ir 0.000 0.000 0.000
2 Si 0.500 0.500 0.500
3 Se 0.500 0.000 0.000
4 Se 0.000 0.000 0.500
5 Se 0.000 0.500 0.000

Pr2MgAg5 | PBE | relaxed

## Properties
- total energy (eV per atom) = -3.3457
- total moment (μB/cell) = 0.26
- energy of formation from the pure elements (meV/atom) = -169

abc: 5.056 5.056 7.939
angles: 108.57 108.57 90.00
Positions (direct):
1 Pr 0.259 0.259 0.518
2 Pr 0.741 0.741 0.482
3 Ag 0.396 0.896 0.792
4 Ag 0.500 0.500 0.000
5 Ag 0.104 0.604 0.208
6 Ag 0.896 0.396 0.792
7 Ag 0.604 0.104 0.208
8 Mg 0.000 0.000 0.000

Question: Number 2 is which compound?
Answer: Pr2MgAg5